Density functional theory data (GGA-PBE) for crystalline CaLa2Cr at its relaxed geometry.

Calculated values
Formation energy from the elements: 0.641 eV/atom
Total DFT energy (no corrections): -4.729 eV per atom
Excess energy over the best structure of this formula in the dataset: 1.505 eV per formula unit
SG: Fm-3m (225)

abc: 5.3666 5.3666 5.3666
angles: 60.00 60.00 60.00
Fractional coordinates of all 4 atoms:
Ca1 0.0000 0.0000 0.0000
La1 0.2500 0.2500 0.2500
La2 0.7500 0.7500 0.7500
Cr1 0.5000 0.5000 0.5000